Entry from the Alexandria database: a relaxed structure of Ho5Si5Pt2 (PBE).

The structure in extended XYZ format:
```
12
Lattice="4.112 0.000 0.928 2.042 7.332 0.525 0.270 -0.368 8.380" Properties=species:S:1:pos:R:3 pbc="T T T"
Ho 4.513 4.783 8.729
Ho 1.156 3.482 4.452
Ho 3.515 6.730 3.575
Ho 1.912 2.182 1.104
Si 0.000 0.000 0.000
Si 4.712 1.882 7.849
Pt 3.667 3.835 2.904
Ho 2.910 0.234 6.258
Si 2.904 5.510 6.285
Si 3.521 1.454 3.548
Si 1.713 5.083 1.984
Pt 2.759 3.129 6.929
```

* final energy: -72.59 eV/cell
* symmetry: C2/m (12)
* volume: 20.911 Å³/atom
* size of the total moment: 0.00 μB per cell
* calculated density: 9.0 g/cm3

Entry from the Alexandria database: a relaxed structure of ScAg2Sb2 (PBE).

The structure in extended XYZ format:
```
10
Lattice="7.869 0.000 0.000 0.000 7.869 0.000 0.000 0.000 3.647" Properties=species:S:1:pos:R:3 pbc="T T T"
Sb 5.373 6.431 1.823
Ag 2.974 6.909 0.000
Ag 0.961 2.974 0.000
Sb 6.431 2.496 1.823
Sc 3.935 3.935 0.000
Sb 2.496 1.438 1.823
Sc 0.000 0.000 0.000
Sb 1.438 5.373 1.823
Ag 4.895 0.961 0.000
Ag 6.909 4.895 0.000
```

* ΔE to the lowest computed polymorph: 6.5 kJ per mole of atoms
* symmetry: P4/mbm (127)
* volume: 22.583 Å³/atom
* size of the total moment: 0.00 μB per cell
* calculated density: 7.4 g/cm3

Entry from the Alexandria database: a relaxed structure of La12Ir6Os (PBE).

The structure in extended XYZ format:
```
19
Lattice="-7.729 -3.264 1.200 3.984 -6.983 -2.684 2.681 0.046 8.040" Properties=species:S:1:pos:R:3 pbc="T T T"
La 1.319 -5.398 5.541
Ir 2.332 -7.272 3.688
La -3.133 -5.558 4.567
Ir -3.397 -2.929 2.868
Ir -2.914 -7.633 2.276
La -2.582 -2.518 8.073
La -2.384 -4.804 1.015
Os 0.000 0.000 0.000
Ir -1.484 -4.898 6.762
La -0.126 -7.628 1.835
La 5.099 -6.550 3.046
La 3.206 -2.466 6.876
La 1.517 -7.684 -1.517
La -6.164 -3.651 3.510
Ir 1.850 -2.569 4.280
La 2.068 -4.643 1.989
La -4.271 -7.736 -0.320
Ir 0.420 -5.303 -0.207
La -0.939 -2.573 4.721
```

* symmetry: R-3 (148)
* volume: 30.722 Å³/atom
* size of the total moment: 0.00 μB per cell
* DFT formation energy: -579 meV/atom
* calculated density: 8.6 g/cm3

Entry from the Alexandria database: a relaxed structure of InAg12Sn3 (PBE).

The structure in extended XYZ format:
```
16
Lattice="4.329 0.000 0.000 0.000 4.329 0.000 0.000 0.000 16.518" Properties=species:S:1:pos:R:3 pbc="T T T"
Ag 2.165 2.165 0.000
Ag 0.000 2.165 6.185
Ag 0.000 2.165 10.333
Ag 0.000 2.165 2.042
Ag 2.165 0.000 6.185
Ag 2.165 2.165 12.413
Ag 0.000 2.165 14.476
Ag 2.165 0.000 2.042
Ag 2.165 2.165 4.105
Sn 0.000 0.000 8.259
In 0.000 0.000 0.000
Sn 0.000 0.000 4.121
Sn 0.000 0.000 12.397
Ag 2.165 0.000 10.333
Ag 2.165 2.165 8.259
Ag 2.165 0.000 14.476
```

* symmetry: P4/mmm (123)
* volume: 19.349 Å³/atom
* size of the total moment: 0.00 μB per cell
* DFT formation energy: 5 meV/atom
* calculated density: 9.5 g/cm3